Entry 1:
Density functional theory data (PBE-GGA) for a relaxed structure of Pm6Rh2AuCl3.

Output
formation energy from raw total energies = -13.73 eV per formula unit
Fermi-level density of states = 8.84 states/eV/f.u.
space-group type = C2/m, No. 12

Lattice parameters (Å, degrees): 7.1759 7.1759 7.8182 98.61 98.61 120.21
Fractional positions:
Pm1 0.9316 0.5807 0.7912
Pm2 0.7171 0.7171 0.2092
Pm3 0.0684 0.4193 0.2088
Pm4 0.5807 0.9316 0.7912
Pm5 0.2829 0.2829 0.7908
Pm6 0.4193 0.0684 0.2088
Rh1 0.3337 0.6663 0.0000
Rh2 0.6663 0.3337 0.0000
Au1 0.0000 0.0000 0.0000
Cl1 0.1734 0.8266 0.5000
Cl2 0.8266 0.1734 0.5000
Cl3 0.5000 0.5000 0.5000

***

Entry 2:
Density functional theory data (PBE-GGA) for a relaxed structure of Pm4AuS2Cl.

Output
formation energy from raw total energies = -12.49 eV per formula unit
Fermi-level density of states = 4.30 states/eV/f.u.
space-group type = P2/m, No. 10

Lattice parameters (Å, degrees): 4.0226 7.2683 7.1267 71.58 90.00 90.00
Fractional positions:
Pm1 0.0000 0.7736 0.7373
Pm2 0.0000 0.2264 0.2627
Pm3 0.5000 0.7640 0.2461
Pm4 0.5000 0.2360 0.7539
Au1 0.0000 0.5000 0.5000
S1 0.0000 0.0000 0.0000
S2 0.5000 0.0000 0.5000
Cl1 0.5000 0.5000 0.0000

***

Entry 3:
Density functional theory data (PBE-GGA) for a relaxed structure of Pm3AuSeCl.

Output
formation energy from raw total energies = -7.83 eV per formula unit
Fermi-level density of states = 2.73 states/eV/f.u.
space-group type = P2_1/m, No. 11

Lattice parameters (Å, degrees): 4.0585 7.8449 11.2682 112.32 90.00 90.00
Fractional positions:
Pm1 0.7500 0.0000 0.1485
Pm2 0.2500 0.0000 0.8515
Pm3 0.2500 0.7112 0.5071
Pm4 0.7500 0.2888 0.4929
Pm5 0.7500 0.4914 0.1693
Pm6 0.2500 0.5086 0.8307
Au1 0.2500 0.3142 0.2979
Au2 0.7500 0.6858 0.7021
Se1 0.2500 0.7153 0.1041
Se2 0.7500 0.2847 0.8959
Cl1 0.2500 0.1407 0.6186
Cl2 0.7500 0.8593 0.3814

***

Entry 4:
Density functional theory data (PBE-GGA) for a relaxed structure of Pm3TeAuCl.

Output
formation energy from raw total energies = -6.68 eV per formula unit
Fermi-level density of states = 4.29 states/eV/f.u.
space-group type = P2_1/m, No. 11

Lattice parameters (Å, degrees): 4.2125 8.0429 10.6794 109.23 90.00 90.00
Fractional positions:
Pm1 0.7500 0.8773 0.0925
Pm2 0.2500 0.1227 0.9075
Pm3 0.2500 0.7259 0.5146
Pm4 0.7500 0.2741 0.4854
Pm5 0.7500 0.4750 0.2194
Pm6 0.2500 0.5250 0.7806
Te1 0.2500 0.1787 0.2354
Te2 0.7500 0.8213 0.7646
Au1 0.2500 0.6069 0.0787
Au2 0.7500 0.3931 0.9213
Cl1 0.2500 0.1380 0.6180
Cl2 0.7500 0.8620 0.3820

***

Entry 5:
Density functional theory data (PBE-GGA) for a relaxed structure of Pr3AuCl3.

Output
formation energy from raw total energies = -10.53 eV per formula unit
Fermi-level density of states = 5.73 states/eV/f.u.
space-group type = I4_132, No. 214

Lattice parameters (Å, degrees): 10.3935 10.3935 10.3935 109.47 109.47 109.47
Fractional positions:
Pr1 0.9909 0.4955 0.2455
Pr2 0.5045 0.0091 0.2545
Pr3 0.2500 0.0045 0.4955
Pr4 0.9955 0.7500 0.0045
Pr5 0.9955 0.2455 0.4909
Pr6 0.7545 0.0045 0.0091
Pr7 0.7455 0.4909 0.4955
Pr8 0.7545 0.7500 0.2455
Pr9 0.5091 0.2545 0.0045
Pr10 0.2500 0.2455 0.2545
Pr11 0.7455 0.2545 0.7500
Pr12 0.5045 0.4955 0.7500
Au1 0.7500 0.5000 0.0000
Au2 0.5000 0.2500 0.5000
Au3 0.7500 0.2500 0.2500
Au4 0.0000 0.0000 0.2500
Cl1 0.2498 0.9998 0.9996
Cl2 0.7500 0.7502 0.7498
Cl3 0.4996 0.7498 0.9998
Cl4 0.0002 0.2500 0.9998
Cl5 0.2502 0.7498 0.2500
Cl6 0.4998 0.5002 0.2500
Cl7 0.2498 0.2500 0.7502
Cl8 0.2502 0.5004 0.5002
Cl9 0.7500 0.9998 0.5002
Cl10 0.0004 0.5002 0.7502
Cl11 0.0002 0.7502 0.5004
Cl12 0.4998 0.9996 0.7498

***

Entry 6:
Density functional theory data (PBE-GGA) for a relaxed structure of Pr6AuCl8.

Output
formation energy from raw total energies = -25.16 eV per formula unit
Fermi-level density of states = 7.69 states/eV/f.u.
space-group type = R-3, No. 148

Lattice parameters (Å, degrees): 7.0981 7.0981 11.1951 71.52 71.52 60.00
Fractional positions:
Pr1 0.9452 0.6095 0.1668
Pr2 0.7214 0.0548 0.8332
Pr3 0.3905 0.7214 0.8332
Pr4 0.6095 0.2786 0.1668
Pr5 0.2786 0.9452 0.1668
Pr6 0.0548 0.3905 0.8332
Au1 0.0000 0.0000 0.0000
Cl1 0.7842 0.4341 0.6715
Cl2 0.8898 0.2158 0.3285
Cl3 0.5659 0.8898 0.3285
Cl4 0.3335 0.3335 0.9994
Cl5 0.6665 0.6665 0.0006
Cl6 0.4341 0.1102 0.6715
Cl7 0.1102 0.7842 0.6715
Cl8 0.2158 0.5659 0.3285

***

Entry 7:
Density functional theory data (PBE-GGA) for a relaxed structure of Pr7AuCl12.

Output
formation energy from raw total energies = -37.77 eV per formula unit
Fermi-level density of states = 10.17 states/eV/f.u.
space-group type = R-3, No. 148

Lattice parameters (Å, degrees): 9.2195 9.4313 9.4314 109.92 109.02 109.02
Fractional positions:
Pr1 0.1441 0.7902 0.0938
Pr2 0.9497 0.0938 0.3036
Pr3 0.6460 0.6964 0.7902
Pr4 0.5000 0.0000 0.0000
Pr5 0.3540 0.3036 0.2098
Pr6 0.0503 0.9062 0.6964
Pr7 0.8559 0.2098 0.9062
Au1 0.0000 0.0000 0.0000
Cl1 0.2072 0.5088 0.1244
Cl2 0.9172 0.1244 0.6155
Cl3 0.6131 0.7768 0.0974
Cl4 0.4842 0.0974 0.3205
Cl5 0.3016 0.3845 0.5088
Cl6 0.1637 0.6795 0.7768
Cl7 0.8363 0.3205 0.2232
Cl8 0.6984 0.6155 0.4912
Cl9 0.5158 0.9026 0.6795
Cl10 0.3869 0.2232 0.9026
Cl11 0.0828 0.8756 0.3845
Cl12 0.7928 0.4912 0.8756

***

Entry 8:
Density functional theory data (PBE-GGA) for a relaxed structure of PrAuCl.

Output
formation energy from raw total energies = -3.35 eV per formula unit
Fermi-level density of states = 1.36 states/eV/f.u.
space-group type = C2/m, No. 12

Lattice parameters (Å, degrees): 3.6324 7.5000 6.9610 88.96 74.88 75.99
Fractional positions:
Pr1 0.1499 0.2492 0.4510
Pr2 0.8501 0.7508 0.5490
Au1 0.1022 0.9987 0.7968
Au2 0.8978 0.0013 0.2032
Cl1 0.3956 0.4741 0.7347
Cl2 0.6044 0.5259 0.2653

***

Look up the Fermi-level density of states of the fifth one. 5.73 states/eV/f.u.

***

Repeat the seventh record exactly.
Density functional theory data (PBE-GGA) for a relaxed structure of Pr7AuCl12.

Output
formation energy from raw total energies = -37.77 eV per formula unit
Fermi-level density of states = 10.17 states/eV/f.u.
space-group type = R-3, No. 148

Lattice parameters (Å, degrees): 9.2195 9.4313 9.4314 109.92 109.02 109.02
Fractional positions:
Pr1 0.1441 0.7902 0.0938
Pr2 0.9497 0.0938 0.3036
Pr3 0.6460 0.6964 0.7902
Pr4 0.5000 0.0000 0.0000
Pr5 0.3540 0.3036 0.2098
Pr6 0.0503 0.9062 0.6964
Pr7 0.8559 0.2098 0.9062
Au1 0.0000 0.0000 0.0000
Cl1 0.2072 0.5088 0.1244
Cl2 0.9172 0.1244 0.6155
Cl3 0.6131 0.7768 0.0974
Cl4 0.4842 0.0974 0.3205
Cl5 0.3016 0.3845 0.5088
Cl6 0.1637 0.6795 0.7768
Cl7 0.8363 0.3205 0.2232
Cl8 0.6984 0.6155 0.4912
Cl9 0.5158 0.9026 0.6795
Cl10 0.3869 0.2232 0.9026
Cl11 0.0828 0.8756 0.3845
Cl12 0.7928 0.4912 0.8756

***

Look up the Fermi-level density of states of the third one. 2.73 states/eV/f.u.

***

Fermi-level density of states of number 4 (Pm3TeAuCl)? 4.29 states/eV/f.u.